[1]
VASP calculation (PBE-GGA) on LaTb2Pm4Er after structural relaxation.

- raw total energy (eV per atom) = -4.701
- total magnetization (μB per formula unit) = 0.0
- Fermi-level density of states (states/eV per atom) = 1.4769

Structure (CIF):
```
data_LaTb2Pm4Er
_chemical_formula_sum 'La1 Tb2 Pm4 Er1'
_space_group_name_H-M_alt 'P 1 2/m 1'
_space_group_IT_number 10
_cell_length_a 6.2482
_cell_length_b 3.6368
_cell_length_c 12.0265
_cell_angle_alpha 90.00
_cell_angle_beta 100.16
_cell_angle_gamma 90.00
loop_
_space_group_symop_operation_xyz
'x,y,z'
'-x,-y,-z'
'-x,y,-z'
'x,-y,z'
loop_
_atom_site_label
_atom_site_type_symbol
_atom_site_fract_x
_atom_site_fract_y
_atom_site_fract_z
La1 La 0.0000 0.0000 0.0000
Tb1 Tb 0.0000 0.5000 0.5000
Tb2 Tb 0.5000 0.0000 0.5000
Pm1 Pm 0.2499 0.0000 0.7492
Pm2 Pm 0.2518 0.5000 0.2534
Er1 Er 0.5000 0.5000 0.0000
```

[2]
VASP calculation (PBE-GGA) on Al2Fe21B6 after structural relaxation.

- raw total energy (eV per atom) = -7.999
- total magnetization (μB per formula unit) = 42.0
- Fermi-level density of states (states/eV per atom) = 0.8265

Structure (CIF):
```
data_Al2Fe21B6
_chemical_formula_sum 'Al8 Fe84 B24'
_space_group_name_H-M_alt 'F m -3 m'
_space_group_IT_number 225
_space_group_name_Hall '-F 4 2 3'
_cell_length_a 10.6170
_cell_length_b 10.6170
_cell_length_c 10.6170
_cell_angle_alpha 90.00
_cell_angle_beta 90.00
_cell_angle_gamma 90.00
loop_
_atom_site_label
_atom_site_type_symbol
_atom_site_fract_x
_atom_site_fract_y
_atom_site_fract_z
Al1 Al 0.2500 0.2500 0.2500
Fe1 Fe 0.0000 0.0000 0.0000
Fe2 Fe 0.0000 0.1713 0.1713
Fe3 Fe 0.1157 0.1157 0.3843
B1 B 0.0000 0.0000 0.2742
```

[3]
VASP calculation (PBE-GGA) on Tb2AuF after structural relaxation.

- raw total energy (eV per atom) = -5.216
- total magnetization (μB per formula unit) = 0.0
- raw formation energy (meV/atom) = -1613
- Fermi-level density of states (states/eV per atom) = 0.7816

Structure (CIF):
```
data_Tb2AuF
_chemical_formula_sum 'Tb6 Au3 F3'
_space_group_name_H-M_alt 'R -3 m'
_space_group_IT_number 166
_space_group_name_Hall '-R 3 2"'
_cell_length_a 4.4160
_cell_length_b 4.4160
_cell_length_c 21.6656
_cell_angle_alpha 90.00
_cell_angle_beta 90.00
_cell_angle_gamma 120.00
loop_
_atom_site_label
_atom_site_type_symbol
_atom_site_fract_x
_atom_site_fract_y
_atom_site_fract_z
Tb1 Tb 0.0000 0.0000 0.1014
Au1 Au 0.0000 0.0000 0.5000
F1 F 0.0000 0.0000 0.0000
```

[4]
VASP calculation (PBE-GGA) on CaPmY2Tl4 after structural relaxation.

- raw total energy (eV per atom) = -4.030
- total magnetization (μB per formula unit) = 0.0
- Fermi-level density of states (states/eV per atom) = 0.6639

Structure (CIF):
```
data_CaPmY2Tl4
_chemical_formula_sum 'Ca3 Pm3 Y6 Tl12'
_space_group_name_H-M_alt 'R -3 m'
_space_group_IT_number 166
_space_group_name_Hall '-R 3 2"'
_cell_length_a 5.4192
_cell_length_b 5.4192
_cell_length_c 26.7521
_cell_angle_alpha 90.00
_cell_angle_beta 90.00
_cell_angle_gamma 120.00
loop_
_atom_site_label
_atom_site_type_symbol
_atom_site_fract_x
_atom_site_fract_y
_atom_site_fract_z
Ca1 Ca 0.0000 0.0000 0.0000
Pm1 Pm 0.0000 0.0000 0.5000
Y1 Y 0.0000 0.0000 0.2524
Tl1 Tl 0.0000 0.0000 0.1252
Tl2 Tl 0.0000 0.0000 0.3752
```

[5]
VASP calculation (PBE-GGA) on NpB3F12 after structural relaxation.

- raw total energy (eV per atom) = -6.459
- total magnetization (μB per formula unit) = 4.0
- raw formation energy (meV/atom) = -2994
- Fermi-level density of states (states/eV per atom) = 0.3672

Structure (CIF):
```
data_NpB3F12
_chemical_formula_sum 'Np2 B6 F24'
_space_group_name_H-M_alt 'P 63/m'
_space_group_IT_number 176
_space_group_name_Hall '-P 6c'
_cell_length_a 9.2305
_cell_length_b 9.2305
_cell_length_c 5.9004
_cell_angle_alpha 90.00
_cell_angle_beta 90.00
_cell_angle_gamma 120.00
loop_
_atom_site_label
_atom_site_type_symbol
_atom_site_fract_x
_atom_site_fract_y
_atom_site_fract_z
Np1 Np 0.3333 0.6667 0.2500
B1 B 0.0925 0.3836 0.7500
F1 F 0.0225 0.2163 0.7500
F2 F 0.0310 0.5631 0.2500
F3 F 0.1975 0.4603 0.5541
```

[6]
VASP calculation (PBE-GGA) on Sr4Ti2Sb after structural relaxation.

- raw total energy (eV per atom) = -3.387
- total magnetization (μB per formula unit) = 0.1
- raw formation energy (meV/atom) = 418
- Fermi-level density of states (states/eV per atom) = 1.4106

Structure (CIF):
```
data_Sr4Ti2Sb
_chemical_formula_sum 'Sr8 Ti4 Sb2'
_space_group_name_H-M_alt 'I 4/m m m'
_space_group_IT_number 139
_space_group_name_Hall '-I 4 2'
_cell_length_a 6.5152
_cell_length_b 6.5152
_cell_length_c 15.4434
_cell_angle_alpha 90.00
_cell_angle_beta 90.00
_cell_angle_gamma 90.00
loop_
_atom_site_label
_atom_site_type_symbol
_atom_site_fract_x
_atom_site_fract_y
_atom_site_fract_z
Sr1 Sr 0.0000 0.0000 0.2075
Sr2 Sr 0.0000 0.5000 0.0000
Ti1 Ti 0.0000 0.0000 0.4349
Sb1 Sb 0.0000 0.0000 0.0000
```

Look up the total magnetization of the fifth one.
4.0 μB per formula unit